[1]
Below is a geometry-optimized BaLaBr2 structure, with properties calculated at the GGA-PBE level.

Results
**Raw formation energy**: -1277 meV per atom
**E_tot**: -3.8262 eV per atom
**ρ**: 5.0 g/cm³
**E above lowest polymorph**: 0.37 eV per formula unit

abc: 8.060 8.060 4.431
angles: 89.97 89.97 29.91
Site moments in Bohr magnetons follow the coordinates.
Sites, in units of the cell vectors:
Ba 0.797 0.797 0.875  0.20
Br 0.007 0.007 0.875  0.02
Br 0.186 0.186 0.375  0.02
La 0.509 0.509 0.375  0.22

***

[2]
Below is a geometry-optimized LaIr2IO structure, with properties calculated at the GGA-PBE level.

Results
**Raw formation energy**: 279 meV per atom
**E_tot**: -5.5528 eV per atom
**ρ**: 10.5 g/cm³

abc: 4.970 4.263 4.970
angles: 90.00 90.00 90.00
Sites, in units of the cell vectors:
I 0.000 0.000 0.000
Ir 0.000 0.000 0.500
Ir 0.500 0.000 0.000
O 0.000 0.500 0.000
La 0.500 0.500 0.500

***

[3]
Below is a geometry-optimized Zn2PHO structure, with properties calculated at the GGA-PBE level.

Results
**E_tot**: -2.6482 eV per atom
**ρ**: 4.0 g/cm³

abc: 4.174 4.209 4.174
angles: 90.00 90.00 90.00
Sites, in units of the cell vectors:
P 0.000 0.500 0.000
Zn 0.000 0.000 0.500
Zn 0.500 0.000 0.000
O 0.000 0.000 0.000
H 0.500 0.500 0.500

***

[4]
Below is a geometry-optimized Y6Er8Tm structure, with properties calculated at the GGA-PBE level.

Results
**E_tot**: -5.1948 eV per atom
**ρ**: 7.1 g/cm³
**Formation energy from the elements**: 0.122 eV/atom
**E above lowest polymorph**: 0.00 eV per formula unit

abc: 8.993 8.993 8.574
angles: 58.37 58.37 60.00
Sites, in units of the cell vectors:
Y 0.459 0.888 0.876
Y 0.112 0.224 0.124
Y 0.224 0.541 0.124
Y 0.776 0.459 0.876
Y 0.888 0.776 0.876
Y 0.541 0.112 0.124
Er 0.721 0.110 0.426
Er 0.890 0.257 0.574
Er 0.257 0.279 0.574
Er 0.576 0.576 0.272
Er 0.424 0.424 0.728
Er 0.743 0.721 0.426
Er 0.110 0.743 0.426
Er 0.279 0.890 0.574
Tm 0.000 0.000 0.000

***

[5]
Below is a geometry-optimized Ce3GaSi6Pt2 structure, with properties calculated at the GGA-PBE level.

Results
**Raw formation energy**: -448 meV per atom
**E_tot**: -5.9023 eV per atom
**ρ**: 7.5 g/cm³

abc: 5.353 5.353 9.345
angles: 90.00 90.00 120.00
Sites, in units of the cell vectors:
Ce 0.333 0.667 0.576
Ce 0.667 0.333 0.424
Ce 0.000 0.000 0.000
Ga 0.000 0.000 0.500
Si 0.658 0.829 0.278
Si 0.171 0.342 0.278
Si 0.171 0.829 0.278
Si 0.829 0.658 0.722
Si 0.342 0.171 0.722
Si 0.829 0.171 0.722
Pt 0.667 0.333 0.932
Pt 0.333 0.667 0.068

***

[6]
Below is a geometry-optimized VGaFeTc structure, with properties calculated at the GGA-PBE level.

Results
**E_tot**: -7.9714 eV per atom
**ρ**: 8.7 g/cm³
**Formation energy from the elements**: -0.228 eV/atom

abc: 4.198 4.198 4.198
angles: 60.00 60.00 60.00
Site moments in Bohr magnetons follow the coordinates.
Sites, in units of the cell vectors:
V 0.750 0.750 0.750  -0.35
Tc 0.000 0.000 0.000  0.27
Ga 0.250 0.250 0.250  -0.01
Fe 0.500 0.500 0.500  1.04

***

[7]
Below is a geometry-optimized ThCuPd2 structure, with properties calculated at the GGA-PBE level.

Results
**E_tot**: -6.1147 eV per atom
**ρ**: 11.3 g/cm³
**Formation energy from the elements**: -0.639 eV/atom

abc: 5.479 7.252 15.079
angles: 90.00 90.00 90.00
Sites, in units of the cell vectors:
Th 0.487 0.250 0.143
Th 0.987 0.750 0.357
Th 0.513 0.750 0.857
Th 0.013 0.250 0.643
Th 0.730 0.250 0.395
Th 0.230 0.750 0.105
Th 0.270 0.750 0.605
Th 0.770 0.250 0.895
Cu 0.219 0.250 0.320
Cu 0.719 0.750 0.180
Cu 0.781 0.750 0.680
Cu 0.281 0.250 0.820
Cu 0.994 0.250 0.072
Cu 0.494 0.750 0.428
Cu 0.006 0.750 0.928
Cu 0.506 0.250 0.572
Pd 0.951 0.050 0.217
Pd 0.451 0.950 0.283
Pd 0.049 0.550 0.783
Pd 0.549 0.450 0.717
Pd 0.049 0.950 0.783
Pd 0.549 0.050 0.717
Pd 0.951 0.450 0.217
Pd 0.451 0.550 0.283
Pd 0.736 0.549 0.034
Pd 0.236 0.451 0.466
Pd 0.264 0.049 0.966
Pd 0.764 0.951 0.534
Pd 0.264 0.451 0.966
Pd 0.764 0.549 0.534
Pd 0.736 0.951 0.034
Pd 0.236 0.049 0.466

***

[8]
Below is a geometry-optimized YNiRh2 structure, with properties calculated at the GGA-PBE level.

Results
**E_tot**: -7.1197 eV per atom
**ρ**: 9.1 g/cm³
**Formation energy from the elements**: -0.383 eV/atom

abc: 4.042 4.042 3.932
angles: 90.00 90.00 90.00
Sites, in units of the cell vectors:
Ni 0.000 0.500 0.500
Rh 0.000 0.000 0.000
Rh 0.500 0.500 0.000
Y 0.500 0.000 0.500

***

[9]
Below is a geometry-optimized Y2AlZn6 structure, with properties calculated at the GGA-PBE level.

Results
**E_tot**: -3.0296 eV per atom
**ρ**: 6.0 g/cm³
**Formation energy from the elements**: -0.328 eV/atom

abc: 5.872 5.603 5.746
angles: 119.18 88.84 90.00
Sites, in units of the cell vectors:
Y 0.859 0.667 0.334
Y 0.141 0.333 0.666
Al 0.000 0.000 0.000
Zn 0.337 0.352 0.173
Zn 0.345 0.818 0.636
Zn 0.337 0.821 0.173
Zn 0.663 0.648 0.827
Zn 0.655 0.182 0.364
Zn 0.663 0.179 0.827

***

[10]
Below is a geometry-optimized Ba2PrUN4 structure, with properties calculated at the GGA-PBE level.

Results
**Raw formation energy**: -1041 meV per atom
**E_tot**: -7.6926 eV per atom
**ρ**: 7.8 g/cm³

abc: 3.689 6.337 6.783
angles: 108.37 90.00 90.00
Sites, in units of the cell vectors:
Ba 0.500 0.000 0.500
Ba 0.000 0.500 0.500
Pr 0.500 0.500 0.000
U 0.000 0.000 0.000
N 0.500 0.199 0.179
N 0.500 0.801 0.821
N 0.000 0.224 0.823
N 0.000 0.776 0.177

***

[11]
Below is a geometry-optimized YAuSe2 structure, with properties calculated at the GGA-PBE level.

Results
**Raw formation energy**: -1031 meV per atom
**E_tot**: -5.2089 eV per atom
**ρ**: 6.9 g/cm³

abc: 7.856 8.011 8.011
angles: 54.16 112.77 67.23
Sites, in units of the cell vectors:
Y 0.750 0.467 0.967
Y 0.250 0.533 0.033
Au 0.750 0.875 0.375
Au 0.250 0.125 0.625
Se 0.320 0.033 0.219
Se 0.180 0.719 0.533
Se 0.680 0.967 0.781
Se 0.820 0.281 0.467

***

[12]
Below is a geometry-optimized Mg3CdTe4 structure, with properties calculated at the GGA-PBE level.

Results
**Raw formation energy**: -773 meV per atom
**E_tot**: -3.0559 eV per atom
**ρ**: 4.1 g/cm³

abc: 6.536 6.536 6.536
angles: 90.00 90.00 90.00
Sites, in units of the cell vectors:
Mg 0.000 0.500 0.500
Mg 0.500 0.500 0.000
Mg 0.500 0.000 0.500
Te 0.253 0.747 0.747
Te 0.747 0.747 0.253
Te 0.747 0.253 0.747
Te 0.253 0.253 0.253
Cd 0.000 0.000 0.000

***

E_tot of number 2 (LaIr2IO)? -5.5528 eV per atom

***

Which of these has the lowest ρ? Zn2PHO

***

Which of these has the lowest E_tot? VGaFeTc